(1)
# HfPS2N GGA-PBE optimized geometry
data_HfPS2N
_cell_length_a 5.019
_cell_length_b 5.019
_cell_length_c 3.965
_cell_angle_alpha 90.00
_cell_angle_beta 90.00
_cell_angle_gamma 90.00
_symmetry_space_group_name_H-M 'P 4/m m m'
_symmetry_Int_Tables_number 123
_symmetry_space_group_name_Hall '-P 4 2'
loop_
_atom_site_label
_atom_site_fract_x
_atom_site_fract_y
_atom_site_fract_z
_atom_site_occupancy
Hf1 0.000 0.000 0.000 1
P1 0.500 0.500 0.500 1
S1 0.000 0.500 0.000 1
N1 0.000 0.000 0.500 1
# Density of states at the Fermi level, states/eV per atom: 1.118
# E_form (uncorrected), meV/atom: 358

---

(2)
# Ho8SbSe6 GGA-PBE optimized geometry
data_Ho8SbSe6
_cell_length_a 10.4392
_cell_length_b 10.4392
_cell_length_c 4.0433
_cell_angle_alpha 90.00
_cell_angle_beta 90.00
_cell_angle_gamma 120.00
_symmetry_space_group_name_H-M 'P -3'
_symmetry_Int_Tables_number 147
loop_
_symmetry_equiv_pos_as_xyz
'x,y,z'
'-x,-y,-z'
'-y,x-y,z'
'y,-x+y,-z'
'-x+y,-x,z'
'x-y,x,-z'
loop_
_atom_site_label
_atom_site_fract_x
_atom_site_fract_y
_atom_site_fract_z
_atom_site_occupancy
Ho1 0.0349 0.3194 0.2451 1
Ho2 0.3333 0.6667 0.7518 1
Sb1 0.0000 0.0000 0.0000 1
Se1 0.1306 0.6487 0.2509 1
# Density of states at the Fermi level, states/eV per atom: 0.640
# E_form (uncorrected), meV/atom: -1323

---

(3)
# HoMgCuIr GGA-PBE optimized geometry
data_HoMgCuIr
_cell_length_a 6.608
_cell_length_b 6.608
_cell_length_c 6.608
_cell_angle_alpha 90.00
_cell_angle_beta 90.00
_cell_angle_gamma 90.00
_symmetry_space_group_name_H-M 'F -4 3 m'
_symmetry_Int_Tables_number 216
_symmetry_space_group_name_Hall 'F -4 2 3'
loop_
_atom_site_label
_atom_site_fract_x
_atom_site_fract_y
_atom_site_fract_z
_atom_site_occupancy
Ho1 0.000 0.000 0.000 1
Mg1 0.000 0.000 0.500 1
Cu1 0.250 0.250 0.750 1
Ir1 0.250 0.250 0.250 1
# ΔE_f, eV/f.u.: -1.7
# Density of states at the Fermi level, states/eV per atom: 0.544

---

| no. | DFT total energy (eV per cell) |
| --- | --- |
| 1 | -30.2 |
| 2 | -81.5 |
| 3 | -83.5 |